Entry 1:
Below is an optimized crystal structure of Be2Ir, with properties calculated at the PBE-GGA level.

Excess energy over the best structure of this formula in the dataset in meV per atom: 574
ΔH_f (0 K) in eV per formula unit: 0.0

a = 5.2970 Å, b = 5.2970 Å, c = 5.2970 Å
α = 90.00°, β = 90.00°, γ = 90.00°
Last column: nearest neighbours and their distance in Å.
Space group Fm-3m (No. 225)
Symmetry-distinct sites (fractional):
Be: 0.2500 0.2500 0.2500 x8  4 Ir 2.29
Ir: 0.0000 0.0000 0.0000 x4  8 Be 2.29


Entry 2:
Below is an optimized crystal structure of BeIr5, with properties calculated at the PBE-GGA level.

Excess energy over the best structure of this formula in the dataset in meV per atom: 0
ΔH_f (0 K) in eV per formula unit: -1.0

a = 2.7607 Å, b = 2.7607 Å, c = 10.5301 Å
α = 90.00°, β = 90.00°, γ = 90.00°
Last column: nearest neighbours and their distance in Å.
Space group P4/mmm (No. 123)
Symmetry-distinct sites (fractional):
Be: 0.0000 0.0000 0.0000 x1  8 Ir 2.40
Ir: 0.0000 0.0000 0.3177 x2  12 Ir 2.74-2.76
Ir: 0.5000 0.5000 0.1329 x2  4 Be 2.40
Ir: 0.5000 0.5000 0.5000 x1  12 Ir 2.74-2.76


Entry 3:
Below is an optimized crystal structure of BeIr4, with properties calculated at the PBE-GGA level.

Excess energy over the best structure of this formula in the dataset in meV per atom: 45
ΔH_f (0 K) in eV per formula unit: 2.9

a = 5.3219 Å, b = 5.3219 Å, c = 5.3219 Å
α = 90.00°, β = 90.00°, γ = 90.00°
Last column: nearest neighbours and their distance in Å.
Space group Im-3m (No. 229)
Symmetry-distinct sites (fractional):
Be: 0.0000 0.0000 0.0000 x2  8 Ir 2.30
Ir: 0.2500 0.2500 0.2500 x8  2 Be 2.30


Entry 4:
Below is an optimized crystal structure of Be2Ir, with properties calculated at the PBE-GGA level.

Excess energy over the best structure of this formula in the dataset in meV per atom: 564
ΔH_f (0 K) in eV per formula unit: -0.1

a = 2.7086 Å, b = 2.7086 Å, c = 5.4359 Å
α = 90.00°, β = 90.00°, γ = 120.00°
Last column: nearest neighbours and their distance in Å.
Space group P-3m1 (No. 164)
Symmetry-distinct sites (fractional):
Be: 0.3333 0.6667 0.1720 x2  3 Ir 2.37, 3 Be 2.44
Ir: 0.0000 0.0000 0.5000 x1  6 Be 2.37


Entry 5:
Below is an optimized crystal structure of Be2Ir, with properties calculated at the PBE-GGA level.

Excess energy over the best structure of this formula in the dataset in meV per atom: 38
ΔH_f (0 K) in eV per formula unit: -1.6

a = 2.8748 Å, b = 2.8748 Å, c = 7.4185 Å
α = 90.00°, β = 90.00°, γ = 90.00°
Last column: nearest neighbours and their distance in Å.
Space group I4/mmm (No. 139)
Symmetry-distinct sites (fractional):
Be: 0.0000 0.0000 0.1645 x4  5 Ir 2.37-2.49, 5 Be 2.40-2.44
Ir: 0.0000 0.0000 0.5000 x2  10 Be 2.37-2.49


Entry 6:
Below is an optimized crystal structure of Be2Ir, with properties calculated at the PBE-GGA level.

Excess energy over the best structure of this formula in the dataset in meV per atom: 240
ΔH_f (0 K) in eV per formula unit: -1.0

a = 3.9270 Å, b = 3.9270 Å, c = 4.6587 Å
α = 90.00°, β = 90.00°, γ = 120.00°
Last column: nearest neighbours and their distance in Å.
Space group P6_3/mmc (No. 194)
Symmetry-distinct sites (fractional):
Be: 0.0000 0.0000 0.0000 x2  8 Be 2.33-2.55, 6 Ir 2.55
Be: 0.3333 0.6667 0.2500 x2  5 Ir 2.27-2.33
Ir: 0.3333 0.6667 0.7500 x2  5 Be 2.27-2.33


Entry 7:
Below is an optimized crystal structure of Be6Ir, with properties calculated at the PBE-GGA level.

Excess energy over the best structure of this formula in the dataset in meV per atom: 507
ΔH_f (0 K) in eV per formula unit: 13.2

a = 4.7009 Å, b = 4.7009 Å, c = 4.7009 Å
α = 90.00°, β = 90.00°, γ = 90.00°
Last column: nearest neighbours and their distance in Å.
Space group Pm-3m (No. 221)
Symmetry-distinct sites (fractional):
Be: 0.0000 0.0000 0.3044 x6  5 Be 1.84-2.02
Ir: 0.5000 0.5000 0.5000 x1  24 Be 3.45


Entry 8:
Below is an optimized crystal structure of Be5Ir3, with properties calculated at the PBE-GGA level.

ΔH_f (0 K) in eV per formula unit: -4.3

a = 5.7809 Å, b = 7.3875 Å, c = 3.9036 Å
α = 90.00°, β = 90.00°, γ = 90.00°
Last column: nearest neighbours and their distance in Å.
Space group Cmmm (No. 65)
Symmetry-distinct sites (fractional):
Be: 0.0000 0.0000 0.0000 x2  8 Be 2.35-2.56, 4 Ir 2.54
Be: 0.2128 0.5000 0.5000 x4  6 Ir 2.31-2.41, 3 Be 2.46-2.56
Be: 0.2500 0.2500 0.0000 x4  2 Be 2.35, 6 Ir 2.35-2.44
Ir: 0.0000 0.2200 0.5000 x4  10 Be 2.32-2.54
Ir: 0.0000 0.5000 0.0000 x2  8 Be 2.31-2.35


Entry 9:
Below is an optimized crystal structure of BeIr4, with properties calculated at the PBE-GGA level.

Excess energy over the best structure of this formula in the dataset in meV per atom: 0
ΔH_f (0 K) in eV per formula unit: 2.7

a = 4.1096 Å, b = 4.1096 Å, c = 4.1096 Å
α = 90.00°, β = 90.00°, γ = 90.00°
Last column: nearest neighbours and their distance in Å.
Space group Pm-3m (No. 221)
Symmetry-distinct sites (fractional):
Be: 0.0000 0.0000 0.0000 x1  6 Ir 2.05
Ir: 0.0000 0.0000 0.5000 x3  2 Be 2.05
Ir: 0.5000 0.5000 0.5000 x1  12 Ir 2.91


Entry 10:
Below is an optimized crystal structure of Be5Ir6, with properties calculated at the PBE-GGA level.

ΔH_f (0 K) in eV per formula unit: -4.0

a = 12.4380 Å, b = 5.5613 Å, c = 3.9201 Å
α = 90.00°, β = 108.27°, γ = 90.00°
Last column: nearest neighbours and their distance in Å.
Space group C2/m (No. 12)
Symmetry-distinct sites (fractional):
Be: 0.0000 0.0000 0.0000 x2  8 Ir 2.40-2.45
Be: 0.1652 0.0000 0.6621 x4  8 Ir 2.41-2.44
Be: 0.1742 0.5000 0.6710 x4  8 Ir 2.37-2.44
Ir: 0.0000 0.2642 0.5000 x4  6 Be 2.44-2.45, 1 Ir 2.62
Ir: 0.1644 0.2539 0.1619 x8  7 Be 2.37-2.43


Entry 11:
Below is an optimized crystal structure of BeIr5, with properties calculated at the PBE-GGA level.

Excess energy over the best structure of this formula in the dataset in meV per atom: 99
ΔH_f (0 K) in eV per formula unit: -0.4

a = 4.3667 Å, b = 13.3645 Å, c = 2.7850 Å
α = 90.00°, β = 90.00°, γ = 90.00°
Last column: nearest neighbours and their distance in Å.
Space group Cmmm (No. 65)
Symmetry-distinct sites (fractional):
Be: 0.0000 0.0000 0.0000 x2  4 Ir 2.29
Ir: 0.0000 0.1357 0.5000 x4  2 Be 2.29
Ir: 0.0000 0.3175 0.0000 x4  12 Ir 2.66-2.83
Ir: 0.0000 0.5000 0.5000 x2  4 Be 2.59, 10 Ir 2.79-2.84


Entry 12:
Below is an optimized crystal structure of Be2Ir, with properties calculated at the PBE-GGA level.

Excess energy over the best structure of this formula in the dataset in meV per atom: 52
ΔH_f (0 K) in eV per formula unit: -1.6

a = 7.6721 Å, b = 3.5698 Å, c = 4.6961 Å
α = 90.00°, β = 106.29°, γ = 90.00°
Last column: nearest neighbours and their distance in Å.
Space group C2/m (No. 12)
Symmetry-distinct sites (fractional):
Be: 0.0000 0.0000 0.0000 x2  6 Be 2.35-2.53, 4 Ir 2.37
Be: 0.0000 0.0000 0.5000 x2  4 Ir 2.31, 8 Be 2.32-2.55
Be: 0.1859 0.5000 0.3295 x4  7 Be 2.32-2.55, 5 Ir 2.33-2.45
Ir: 0.1299 0.5000 0.7970 x4  9 Be 2.31-2.45


Question: Which value of ΔH_f (0 K) does entry 2 give?
Answer: -1.0 eV per formula unit


Please write out number 8 again, unchanged.
Below is an optimized crystal structure of Be5Ir3, with properties calculated at the PBE-GGA level.

ΔH_f (0 K) in eV per formula unit: -4.3

a = 5.7809 Å, b = 7.3875 Å, c = 3.9036 Å
α = 90.00°, β = 90.00°, γ = 90.00°
Last column: nearest neighbours and their distance in Å.
Space group Cmmm (No. 65)
Symmetry-distinct sites (fractional):
Be: 0.0000 0.0000 0.0000 x2  8 Be 2.35-2.56, 4 Ir 2.54
Be: 0.2128 0.5000 0.5000 x4  6 Ir 2.31-2.41, 3 Be 2.46-2.56
Be: 0.2500 0.2500 0.0000 x4  2 Be 2.35, 6 Ir 2.35-2.44
Ir: 0.0000 0.2200 0.5000 x4  10 Be 2.32-2.54
Ir: 0.0000 0.5000 0.0000 x2  8 Be 2.31-2.35